The following is a PBE calculation of PmBiIrRh after structural relaxation, from Alexandria via LeMat-Bulk.

The structure belongs to space group F-43m (No. 216); the cell edges are 6.9194, 6.9194 and 6.9194 Å and the angles 90.00°, 90.00° and 90.00°. The asymmetric unit holds Pm at (0.0000, 0.0000, 0.0000), Bi at (0.0000, 0.0000, 0.5000), Ir at (0.2500, 0.2500, 0.2500) and Rh at (0.2500, 0.2500, 0.7500).

The value obtained for the energy of formation is -0.298 eV per atom. The calculation puts the calculated density at 13.01 g/cm³. As for the magnetic moment: 0.00 μB/cell. As for the crystal system: cubic.

---

The following is a PBE calculation of MgScO2F after structural relaxation, from Alexandria via LeMat-Bulk.

The structure belongs to space group P4/mmm (No. 123); the cell edges are 4.0892, 4.0892 and 3.9431 Å and the angles 90.00°, 90.00° and 90.00°. The asymmetric unit holds Mg at (0.0000, 0.0000, 0.0000), Sc at (0.5000, 0.5000, 0.5000), O at (0.0000, 0.5000, 0.5000) and F at (0.5000, 0.5000, 0.0000).

For the uncorrected formation energy, the calculation gives -2.629 eV per atom. The calculation puts the calculated density at 3.03 g/cm³. As for the magnetic moment: 0.00 μB/cell. As for the crystal system: tetragonal.

---

The following is a PBE calculation of Li2UF8 after structural relaxation, from Alexandria via LeMat-Bulk.

The structure belongs to space group C2/m (No. 12); the cell edges are 6.1190, 9.8226 and 4.0323 Å and the angles 90.00°, 97.78° and 90.00°. The asymmetric unit holds Li at (0.0000, 0.2099, 0.0000), U at (0.0000, 0.5000, 0.5000), F at (0.0000, 0.2868, 0.5000), F at (0.1725, 0.0000, 0.4060) and F at (0.1943, 0.3790, 0.0539).

For the uncorrected formation energy, the calculation gives -2.922 eV per atom. The calculation puts the calculated density at 5.59 g/cm³. As for the magnetic moment: 0.00 μB/cell. As for the crystal system: monoclinic.

---

The following is a PBE calculation of Ce2Mg3Ga2 after structural relaxation, from Alexandria via LeMat-Bulk.

The structure belongs to space group Cmmm (No. 65); the cell edges are 4.0431, 21.1545 and 4.1549 Å and the angles 90.00°, 90.00° and 90.00°. The asymmetric unit holds Ce at (0.0000, 0.1709, 0.0000), Mg at (0.0000, 0.0000, 0.0000), Mg at (0.0000, 0.4249, 0.5000) and Ga at (0.0000, 0.2861, 0.5000).

The value obtained for the energy of formation is -0.208 eV per atom. The calculation puts the calculated density at 4.60 g/cm³. As for the magnetic moment: 3.38 μB/cell. As for the crystal system: orthorhombic.

---

The following is a PBE calculation of CrPbCl2 after structural relaxation, from Alexandria via LeMat-Bulk.

The structure belongs to space group Cmmm (No. 65); the cell edges are 7.1712, 7.8681 and 3.4158 Å and the angles 90.00°, 90.00° and 90.00°. The asymmetric unit holds Cr at (0.0000, 0.0000, 0.0000), Pb at (0.0000, 0.5000, 0.0000) and Cl at (0.2500, 0.2500, 0.5000).

For the uncorrected formation energy, the calculation gives -0.055 eV per atom. The calculation puts the calculated density at 5.69 g/cm³. The energy above the lowest structure with this stoichiometry is 0.474 eV per atom. As for the magnetic moment: 10.16 μB/cell. As for the crystal system: orthorhombic.

---

The following is a PBE calculation of DyY2Ni after structural relaxation, from Alexandria via LeMat-Bulk.

The structure belongs to space group Cmcm (No. 63); the cell edges are 3.6268, 12.0819 and 9.6368 Å and the angles 90.00°, 90.00° and 90.00°. The asymmetric unit holds Dy at (0.0000, 0.0842, 0.2500), Y at (0.0000, 0.3639, 0.0708) and Ni at (0.0000, 0.2404, 0.7500).

The value obtained for the energy of formation is -0.207 eV per atom. The calculation puts the calculated density at 6.28 g/cm³. The energy above the lowest structure with this stoichiometry is 0.034 eV per atom. As for the magnetic moment: 0.00 μB/cell. As for the crystal system: orthorhombic.

---

The following is a PBE calculation of In2SiOs after structural relaxation, from Alexandria via LeMat-Bulk.

The structure belongs to space group F-43m (No. 216); the cell edges are 6.6255, 6.6255 and 6.6255 Å and the angles 90.00°, 90.00° and 90.00°. The asymmetric unit holds In at (0.0000, 0.0000, 0.0000), In at (0.2500, 0.2500, 0.2500), Si at (0.0000, 0.0000, 0.5000) and Os at (0.2500, 0.2500, 0.7500).

For the uncorrected formation energy, the calculation gives 0.683 eV per atom. The calculation puts the calculated density at 10.23 g/cm³. As for the magnetic moment: 0.00 μB/cell. As for the crystal system: cubic.

---

The following is a PBE calculation of Ca3Ga4Pd8 after structural relaxation, from Alexandria via LeMat-Bulk.

The structure belongs to space group Fm-3m (No. 225); the cell edges are 12.8392, 12.8392 and 12.8392 Å and the angles 90.00°, 90.00° and 90.00°. The asymmetric unit holds Ca at (0.0000, 0.0000, 0.2245), Ga at (0.0000, 0.0000, 0.0000), Ga at (0.0000, 0.0000, 0.5000), Ga at (0.0000, 0.2500, 0.2500), Pd at (0.1186, 0.1186, 0.3814) and Pd at (0.1686, 0.1686, 0.1686).

The value obtained for the energy of formation is -0.693 eV per atom. The calculation puts the calculated density at 7.85 g/cm³. As for the magnetic moment: 0.00 μB/cell. As for the crystal system: cubic.

---

The following is a PBE calculation of Li5Sc3H12 after structural relaxation, from Alexandria via LeMat-Bulk.

The structure belongs to space group Ia-3d (No. 230); the cell edges are 11.2180, 11.2180 and 11.2180 Å and the angles 90.00°, 90.00° and 90.00°. The asymmetric unit holds Li at (0.0000, 0.0000, 0.0000), Li at (0.0000, 0.2500, 0.3750), Sc at (0.0000, 0.2500, 0.1250) and H at (0.0199, 0.0663, 0.6557).

The value obtained for the total energy is -0.284 Ry per atom. The calculation puts the calculated density at 1.71 g/cm³. As for the magnetic moment: 0.00 μB/cell. As for the crystal system: cubic.

---

The following is a PBE calculation of PuNi12As6 after structural relaxation, from Alexandria via LeMat-Bulk.

The structure belongs to space group R-3m (No. 166, hexagonal axes); the cell edges are 10.6012, 10.6012 and 8.2215 Å and the angles 90.00°, 90.00° and 120.00°. The asymmetric unit holds Pu at (0.0000, 0.0000, 0.0000), Ni at (0.0000, 0.3779, 0.5000), Ni at (0.0862, 0.1725, 0.3438) and As at (0.0361, 0.5180, 0.2707).

The value obtained for the energy of formation is -0.203 eV per atom. The calculation puts the calculated density at 8.70 g/cm³. As for the magnetic moment: 17.40 μB/cell. As for the crystal system: trigonal.

---

The following is a PBE calculation of HgPW2 after structural relaxation, from Alexandria via LeMat-Bulk.

The structure belongs to space group Cmm2 (No. 35); the cell edges are 3.2658, 4.5481 and 10.3875 Å and the angles 90.00°, 90.00° and 90.00°. The asymmetric unit holds Hg at (0.0000, 0.0000, 0.0000), P at (0.0000, 0.5000, 0.3628), W at (0.0000, 0.0000, 0.5439) and W at (0.0000, 0.5000, 0.7524).

The value obtained for the energy of formation is 0.420 eV per atom. The calculation puts the calculated density at 12.90 g/cm³. The energy above the lowest structure with this stoichiometry is 0.114 eV per atom. As for the magnetic moment: 0.00 μB/cell. As for the crystal system: orthorhombic.

---

The following is a PBE calculation of Pu2F13 after structural relaxation, from Alexandria via LeMat-Bulk.

The structure belongs to space group P-1 (No. 2); the cell edges are 5.1983, 6.8167 and 8.1360 Å and the angles 65.72°, 83.38° and 79.39°. The asymmetric unit holds Pu at (0.1869, 0.1231, 0.2228), F at (0.0000, 0.0000, 0.5000), F at (0.1018, 0.8651, 0.1940), F at (0.1580, 0.7050, 0.8761), F at (0.2591, 0.3774, 0.2627), F at (0.3589, 0.2300, 0.9719), F at (0.3787, 0.5088, 0.5488) and F at (0.4713, 0.0462, 0.6691).

For the uncorrected formation energy, the calculation gives -2.561 eV per atom. The calculation puts the calculated density at 4.73 g/cm³. The energy above the lowest structure with this stoichiometry is 0.034 eV per atom. As for the magnetic moment: 5.00 μB/cell. As for the crystal system: triclinic.

---

The following is a PBE calculation of Sm2HoBi after structural relaxation, from Alexandria via LeMat-Bulk.

The structure belongs to space group R-3m (No. 166, hexagonal axes); the cell edges are 4.0849, 4.0849 and 29.1452 Å and the angles 90.00°, 90.00° and 120.00°. The asymmetric unit holds Sm at (0.0000, 0.0000, 0.2374), Ho at (0.0000, 0.0000, 0.0000) and Bi at (0.0000, 0.0000, 0.5000).

The value obtained for the energy of formation is -0.142 eV per atom. The calculation puts the calculated density at 7.98 g/cm³. The energy above the lowest structure with this stoichiometry is 0.253 eV per atom. As for the magnetic moment: 3.06 μB/cell. As for the crystal system: trigonal.

---

The following is a PBE calculation of TaSiSe4 after structural relaxation, from Alexandria via LeMat-Bulk.

The structure belongs to space group F-43m (No. 216); the cell edges are 7.8018, 7.8018 and 7.8018 Å and the angles 90.00°, 90.00° and 90.00°. The asymmetric unit holds Ta at (0.0000, 0.0000, 0.0000), Si at (0.2500, 0.2500, 0.2500) and Se at (0.1259, 0.1259, 0.6259).

For the uncorrected formation energy, the calculation gives 1.072 eV per atom. The calculation puts the calculated density at 7.34 g/cm³. The energy above the lowest structure with this stoichiometry is 1.438 eV per atom. As for the magnetic moment: 3.60 μB/cell. As for the crystal system: cubic.

---

The following is a PBE calculation of Ho4GeSbC after structural relaxation, from Alexandria via LeMat-Bulk.

The structure belongs to space group Cmcm (No. 63); the cell edges are 6.6827, 15.3404 and 6.6897 Å and the angles 90.00°, 90.00° and 90.00°. The asymmetric unit holds Ho at (0.0000, 0.0838, 0.2500), Ho at (0.0000, 0.4073, 0.2500), Ho at (0.2500, 0.2500, 0.0000), Ge at (0.0000, 0.1134, 0.7500), Sb at (0.0000, 0.3932, 0.7500) and C at (0.0000, 0.2464, 0.2500).

For the uncorrected formation energy, the calculation gives -0.713 eV per atom. The calculation puts the calculated density at 8.39 g/cm³. As for the magnetic moment: 0.00 μB/cell. As for the crystal system: orthorhombic.

---

The following is a PBE calculation of Li2SiAs after structural relaxation, from Alexandria via LeMat-Bulk.

The structure belongs to space group R-3m (No. 166, hexagonal axes); the cell edges are 2.9473, 2.9473 and 25.4386 Å and the angles 90.00°, 90.00° and 120.00°. The asymmetric unit holds Li at (0.0000, 0.0000, 0.2472), Si at (0.0000, 0.0000, 0.0000) and As at (0.0000, 0.0000, 0.5000).

For the uncorrected formation energy, the calculation gives -0.144 eV per atom. The calculation puts the calculated density at 3.04 g/cm³. The energy above the lowest structure with this stoichiometry is 0.152 eV per atom. As for the magnetic moment: 0.00 μB/cell. As for the crystal system: trigonal.

---

The following is a PBE calculation of La2YMnSe after structural relaxation, from Alexandria via LeMat-Bulk.

The structure belongs to space group P4/mmm (No. 123); the cell edges are 5.8082, 5.8082 and 4.6705 Å and the angles 90.00°, 90.00° and 90.00°. The asymmetric unit holds La at (0.0000, 0.5000, 0.0000), Y at (0.0000, 0.0000, 0.5000), Mn at (0.5000, 0.5000, 0.5000) and Se at (0.5000, 0.5000, 0.0000).

For the uncorrected formation energy, the calculation gives -0.249 eV per atom. The calculation puts the calculated density at 5.28 g/cm³. As for the magnetic moment: 2.39 μB/cell. As for the crystal system: tetragonal.

---

The following is a PBE calculation of Nd3Ga3Au8 after structural relaxation, from Alexandria via LeMat-Bulk.

The structure belongs to space group Immm (No. 71); the cell edges are 4.6048, 9.9466 and 13.0183 Å and the angles 90.00°, 90.00° and 90.00°. The asymmetric unit holds Nd at (0.0000, 0.0000, 0.0000), Nd at (0.0000, 0.0000, 0.2992), Ga at (0.0000, 0.1942, 0.5000), Ga at (0.0000, 0.5000, 0.0000), Au at (0.0000, 0.2941, 0.1272) and Au at (0.0000, 0.3630, 0.3440).

The value obtained for the energy of formation is -0.592 eV per atom. The calculation puts the calculated density at 12.35 g/cm³. The energy above the lowest structure with this stoichiometry is 0.052 eV per atom. As for the magnetic moment: 0.00 μB/cell. As for the crystal system: orthorhombic.

---

The following is a PBE calculation of Ba7In2P after structural relaxation, from Alexandria via LeMat-Bulk.

The structure belongs to space group C2/c (No. 15); the cell edges are 18.7782, 8.3977 and 12.2822 Å and the angles 90.00°, 111.94° and 90.00°. The asymmetric unit holds Ba at (0.0000, 0.1410, 0.2500), Ba at (0.0973, 0.2740, 0.6190), Ba at (0.1309, 0.2291, 0.0082), Ba at (0.1912, 0.4119, 0.3517), In at (0.2088, 0.0007, 0.8383) and P at (0.0000, 0.4657, 0.7500).

The value obtained for the energy of formation is -0.365 eV per atom. The calculation puts the calculated density at 4.52 g/cm³. As for the magnetic moment: 0.00 μB/cell. As for the crystal system: monoclinic.